(1)
{
  "formula": "HgAs",
  "functional": "GGA-PBE",
  "state": "relaxed",
  "lattice_angstrom": [[0.118, -3.877, 1.032], [0.780, -1.043, 3.796], [-2.905, -1.556, 2.290]],
  "species": ["As", "Hg"],
  "frac_coords": [[0.000, 0.000, 0.000], [0.500, 0.500, 0.500]],
  "space_group": "Fm-3m",
  "relative_energy_ev_per_atom": 0.060
}

***

(2)
{
  "formula": "HgAs",
  "functional": "GGA-PBE",
  "state": "relaxed",
  "lattice_angstrom": [[-2.225, -4.285, -2.897], [-0.494, -2.423, 3.963], [-6.248, 2.668, 0.853]],
  "species": ["As", "As", "As", "As", "Hg", "Hg", "Hg", "Hg"],
  "frac_coords": [[0.250, 0.500, 0.028], [0.250, 0.000, 0.226], [0.750, 0.000, 0.774], [0.750, 0.500, 0.972], [0.750, 0.000, 0.250], [0.000, 0.500, 0.500], [0.500, 0.500, 0.500], [0.250, 0.000, 0.750]],
  "space_group": "Pmma",
  "relative_energy_ev_per_atom": 0.000
}

***

(3)
{
  "formula": "HgAs4",
  "functional": "GGA-PBE",
  "state": "relaxed",
  "lattice_angstrom": [[5.848, 0.000, 0.000], [0.000, 5.573, 0.000], [-2.542, 0.000, 8.051]],
  "species": ["As", "As", "As", "As", "As", "As", "As", "As", "Hg", "Hg"],
  "frac_coords": [[0.389, 0.887, 0.083], [0.241, 0.202, 0.236], [0.759, 0.702, 0.264], [0.611, 0.387, 0.417], [0.389, 0.613, 0.583], [0.241, 0.298, 0.736], [0.759, 0.798, 0.764], [0.611, 0.113, 0.917], [0.000, 0.500, 0.000], [0.000, 0.000, 0.500]],
  "space_group": "P2_1/c",
  "energy_ev_per_atom": -3.72
}

***

(4)
{
  "formula": "HoHgAs",
  "functional": "GGA-PBE",
  "state": "relaxed",
  "lattice_angstrom": [[0.000, 3.404, 3.404], [3.404, 0.000, 3.404], [3.404, 3.404, 0.000]],
  "species": ["As", "Hg", "Ho"],
  "frac_coords": [[0.000, 0.000, 0.000], [0.250, 0.250, 0.250], [0.750, 0.750, 0.750]],
  "total_magnetization_mub_per_atom": 0.0100,
  "space_group": "F-43m",
  "relative_energy_ev_per_atom": 0.198
}

***

(5)
{
  "formula": "HoHgAs",
  "functional": "GGA-PBE",
  "state": "relaxed",
  "lattice_angstrom": [[-4.592, -0.040, 1.644], [-2.962, 3.757, -0.946], [-3.704, -0.542, -3.126]],
  "species": ["As", "Hg", "Ho"],
  "frac_coords": [[0.250, 0.250, 0.250], [0.750, 0.750, 0.750], [0.000, 0.000, 0.000]],
  "total_magnetization_mub_per_atom": 0.0003,
  "space_group": "F-43m",
  "relative_energy_ev_per_atom": 0.000
}

***

(6)
{
  "formula": "Ho2ZnHgAs2O2",
  "functional": "GGA-PBE",
  "state": "relaxed",
  "lattice_angstrom": [[-3.108, -1.824, 1.742], [2.282, -0.857, 3.174], [-2.412, 7.771, 3.832]],
  "species": ["As", "As", "Hg", "Ho", "Ho", "O", "O", "Zn"],
  "frac_coords": [[0.000, 0.500, 0.202], [0.500, 0.000, 0.798], [0.000, 0.000, 0.000], [0.500, 0.000, 0.383], [0.000, 0.500, 0.617], [0.000, 0.000, 0.500], [0.500, 0.500, 0.500], [0.500, 0.500, 0.000]],
  "total_magnetization_mub_per_atom": 0.0002,
  "space_group": "P-4m2",
  "energy_ev_per_atom": -5.41
}

***

(7)
{
  "formula": "Hg2AsI",
  "functional": "GGA-PBE",
  "state": "relaxed",
  "lattice_angstrom": [[8.025, 0.000, 0.000], [0.000, 9.465, 0.000], [0.000, 0.000, 7.733]],
  "species": ["As", "As", "As", "As", "Hg", "Hg", "Hg", "Hg", "Hg", "Hg", "Hg", "Hg", "I", "I", "I", "I"],
  "frac_coords": [[0.128, 0.634, 0.000], [0.628, 0.866, 0.000], [0.372, 0.134, 0.500], [0.872, 0.366, 0.500], [0.456, 0.634, 0.001], [0.956, 0.866, 0.001], [0.500, 0.000, 0.250], [0.000, 0.500, 0.250], [0.044, 0.134, 0.501], [0.544, 0.366, 0.501], [0.000, 0.500, 0.750], [0.500, 0.000, 0.750], [0.381, 0.631, 0.498], [0.881, 0.869, 0.498], [0.119, 0.131, 0.998], [0.619, 0.369, 0.998]],
  "space_group": "Pna2_1",
  "energy_ev_per_atom": -1.83
}

***

(8)
{
  "formula": "In2HgAs",
  "functional": "GGA-PBE",
  "state": "relaxed",
  "lattice_angstrom": [[-1.229, -1.897, 4.684], [1.505, 2.511, 4.299], [-3.518, 2.440, 2.952]],
  "species": ["As", "Hg", "In", "In"],
  "frac_coords": [[0.750, 0.750, 0.750], [0.500, 0.500, 0.500], [0.000, 0.000, 0.000], [0.250, 0.250, 0.250]],
  "space_group": "F-43m",
  "energy_ev_per_atom": -2.47
}

***

(9)
{
  "formula": "InHgAs",
  "functional": "GGA-PBE",
  "state": "relaxed",
  "lattice_angstrom": [[4.715, 0.000, 0.000], [-2.357, 4.083, 0.000], [0.000, 0.000, 8.105]],
  "species": ["As", "As", "Hg", "Hg", "In", "In"],
  "frac_coords": [[0.333, 0.667, 0.250], [0.667, 0.333, 0.750], [0.667, 0.333, 0.250], [0.333, 0.667, 0.750], [0.000, 0.000, 0.000], [0.000, 0.000, 0.500]],
  "space_group": "P6_3/mmc",
  "energy_ev_per_atom": -2.43
}

***

(10)
{
  "formula": "InHgAsO",
  "functional": "GGA-PBE",
  "state": "relaxed",
  "lattice_angstrom": [[-1.962, 3.069, -1.837], [-0.730, -2.394, -3.221], [-8.089, -2.822, 3.929]],
  "species": ["As", "As", "Hg", "Hg", "In", "In", "O", "O"],
  "frac_coords": [[0.750, 0.750, 0.292], [0.250, 0.250, 0.708], [0.750, 0.250, 0.500], [0.250, 0.750, 0.500], [0.250, 0.250, 0.104], [0.750, 0.750, 0.896], [0.750, 0.250, 0.000], [0.250, 0.750, 0.000]],
  "space_group": "P4/nmm",
  "relative_energy_ev_per_atom": 0.113
}

***

(11)
{
  "formula": "InHgAsO",
  "functional": "GGA-PBE",
  "state": "relaxed",
  "lattice_angstrom": [[4.521, 0.000, 0.000], [0.000, 4.521, 0.000], [0.000, 0.000, 8.903]],
  "species": ["As", "As", "Hg", "Hg", "In", "In", "O", "O"],
  "frac_coords": [[0.750, 0.750, 0.315], [0.250, 0.250, 0.685], [0.250, 0.250, 0.049], [0.750, 0.750, 0.951], [0.750, 0.250, 0.500], [0.250, 0.750, 0.500], [0.750, 0.250, 0.000], [0.250, 0.750, 0.000]],
  "space_group": "P4/nmm",
  "relative_energy_ev_per_atom": 0.446
}

***

(12)
{
  "formula": "InHgAsO",
  "functional": "GGA-PBE",
  "state": "relaxed",
  "lattice_angstrom": [[-3.818, -1.063, -1.517], [2.765, -1.220, -6.102], [1.026, -6.084, 1.681]],
  "species": ["As", "As", "Hg", "Hg", "In", "In", "O", "O"],
  "frac_coords": [[0.000, 0.808, 0.382], [0.000, 0.192, 0.882], [0.000, 0.183, 0.473], [0.000, 0.817, 0.973], [0.500, 0.365, 0.033], [0.500, 0.635, 0.533], [0.500, 0.364, 0.365], [0.500, 0.636, 0.865]],
  "space_group": "Pmc2_1",
  "relative_energy_ev_per_atom": 0.000
}

***

(13)
{
  "formula": "InHgAsO",
  "functional": "GGA-PBE",
  "state": "relaxed",
  "lattice_angstrom": [[-1.282, 3.732, 0.089], [-3.569, -1.092, -5.599], [-5.325, -1.919, 3.769]],
  "species": ["As", "As", "Hg", "Hg", "In", "In", "O", "O"],
  "frac_coords": [[0.000, 0.824, 0.354], [0.000, 0.176, 0.854], [0.500, 0.332, 0.046], [0.500, 0.668, 0.546], [0.000, 0.203, 0.464], [0.000, 0.797, 0.964], [0.500, 0.329, 0.391], [0.500, 0.671, 0.891]],
  "space_group": "Pmc2_1",
  "relative_energy_ev_per_atom": 0.092
}

***

(14)
{
  "formula": "HgAsIr",
  "functional": "GGA-PBE",
  "state": "relaxed",
  "lattice_angstrom": [[0.000, 3.130, 3.130], [3.130, 0.000, 3.130], [3.130, 3.130, 0.000]],
  "species": ["As", "Hg", "Ir"],
  "frac_coords": [[0.250, 0.250, 0.250], [0.750, 0.750, 0.750], [0.000, 0.000, 0.000]],
  "total_magnetization_mub_per_atom": 0.0049,
  "space_group": "F-43m",
  "relative_energy_ev_per_atom": 0.000
}

***

(15)
{
  "formula": "Hg2AsIr",
  "functional": "GGA-PBE",
  "state": "relaxed",
  "lattice_angstrom": [[0.000, 3.369, 3.369], [3.369, 0.000, 3.369], [3.369, 3.369, 0.000]],
  "species": ["As", "Hg", "Hg", "Ir"],
  "frac_coords": [[0.500, 0.500, 0.500], [0.000, 0.000, 0.000], [0.750, 0.750, 0.750], [0.250, 0.250, 0.250]],
  "total_magnetization_mub_per_atom": 0.0004,
  "space_group": "F-43m",
  "energy_ev_per_atom": -2.92
}

***

(16)
{
  "formula": "MgHgAsIr",
  "functional": "GGA-PBE",
  "state": "relaxed",
  "lattice_angstrom": [[0.000, 3.282, 3.282], [3.282, 0.000, 3.282], [3.282, 3.282, 0.000]],
  "species": ["As", "Hg", "Ir", "Mg"],
  "frac_coords": [[0.000, 0.000, 0.000], [0.500, 0.500, 0.500], [0.250, 0.250, 0.250], [0.750, 0.750, 0.750]],
  "total_magnetization_mub_per_atom": 0.0001,
  "space_group": "F-43m",
  "relative_energy_ev_per_atom": 0.000
}

***

(17)
{
  "formula": "KHgAsO",
  "functional": "GGA-PBE",
  "state": "relaxed",
  "lattice_angstrom": [[-2.145, 3.410, -0.759], [-6.807, -4.107, 0.786], [-0.073, 1.138, 5.314]],
  "species": ["As", "As", "Hg", "Hg", "K", "K", "O", "O"],
  "frac_coords": [[0.000, 0.053, 0.008], [0.000, 0.947, 0.508], [0.500, 0.730, 0.498], [0.500, 0.270, 0.998], [0.000, 0.364, 0.498], [0.000, 0.636, 0.998], [0.500, 0.501, 0.250], [0.500, 0.499, 0.750]],
  "space_group": "Pmc2_1",
  "relative_energy_ev_per_atom": 0.011
}

***

(18)
{
  "formula": "KHgAsO",
  "functional": "GGA-PBE",
  "state": "relaxed",
  "lattice_angstrom": [[3.361, 0.000, 0.000], [0.000, 9.729, 0.000], [0.000, 0.000, 5.448]],
  "species": ["As", "As", "Hg", "Hg", "K", "K", "O", "O"],
  "frac_coords": [[0.000, 0.944, 0.436], [0.000, 0.056, 0.936], [0.000, 0.208, 0.439], [0.000, 0.792, 0.939], [0.500, 0.622, 0.440], [0.500, 0.378, 0.940], [0.500, 0.360, 0.440], [0.500, 0.640, 0.940]],
  "space_group": "Pmc2_1",
  "relative_energy_ev_per_atom": 0.000
}

***

(19)
{
  "formula": "KHgAsO",
  "functional": "GGA-PBE",
  "state": "relaxed",
  "lattice_angstrom": [[4.511, 0.000, 0.000], [0.000, 4.511, 0.000], [0.000, 0.000, 9.065]],
  "species": ["As", "As", "Hg", "Hg", "K", "K", "O", "O"],
  "frac_coords": [[0.750, 0.750, 0.060], [0.250, 0.250, 0.940], [0.250, 0.250, 0.237], [0.750, 0.750, 0.763], [0.750, 0.250, 0.500], [0.250, 0.750, 0.500], [0.750, 0.250, 0.000], [0.250, 0.750, 0.000]],
  "space_group": "P4/nmm",
  "relative_energy_ev_per_atom": 0.307
}

***

(20)
{
  "formula": "KHgAsO",
  "functional": "GGA-PBE",
  "state": "relaxed",
  "lattice_angstrom": [[4.774, 0.000, 0.000], [0.000, 4.774, 0.000], [0.000, 0.000, 7.017]],
  "species": ["As", "As", "Hg", "Hg", "K", "K", "O", "O"],
  "frac_coords": [[0.750, 0.750, 0.277], [0.250, 0.250, 0.723], [0.750, 0.250, 0.500], [0.250, 0.750, 0.500], [0.250, 0.250, 0.151], [0.750, 0.750, 0.849], [0.750, 0.250, 0.000], [0.250, 0.750, 0.000]],
  "space_group": "P4/nmm",
  "relative_energy_ev_per_atom": 0.380
}

***

Number 1: ρ 10.010 g/cm³. Number 2: ρ 10.161 g/cm³. Number 3: ρ 6.333 g/cm³. Number 4: ρ 9.269 g/cm³. Number 5: ρ 8.916 g/cm³. Number 6: ρ 8.963 g/cm³. Number 7: ρ 6.819 g/cm³. Number 8: ρ 8.434 g/cm³. Number 9: ρ 8.308 g/cm³. Number 10: ρ 8.604 g/cm³. Number 11: ρ 7.416 g/cm³. Number 12: ρ 7.303 g/cm³. Number 13: ρ 7.472 g/cm³. Number 14: ρ 12.663 g/cm³. Number 15: ρ 14.514 g/cm³. Number 16: ρ 11.552 g/cm³. Number 17: ρ 6.169 g/cm³. Number 18: ρ 6.162 g/cm³. Number 19: ρ 5.953 g/cm³. Number 20: ρ 6.866 g/cm³.